The following is a DFT calculation (GGA-PBEsol) of a geometry-optimized TaSiBr2 structure.

Properties
Spin magnetization: 0.002 μB per cell
Calculated volume: 18.9 Å³ per atom
Energy relative to the elements, uncorrected: 0.5146 eV/atom
Density of states at the Fermi level: 2.568 states/eV/cell
Space group: Pmmm, No. 47

abc: 3.057 4.605 5.382
angles: 90.00 90.00 90.00
Positions (direct):
Ta 0.000 0.000 0.000
Si 0.500 0.000 0.500
Br 0.000 0.500 0.500
Br 0.500 0.500 0.000


The following is a DFT calculation (GGA-PBEsol) of a geometry-optimized Ta2SiBr structure.

Properties
Spin magnetization: 0.000 μB per cell
Calculated volume: 18.5 Å³ per atom
Energy relative to the elements, uncorrected: 0.7871 eV/atom
Density of states at the Fermi level: 7.777 states/eV/cell
Space group: I-42d, No. 122

abc: 5.826 5.826 5.826
angles: 104.11 104.11 120.83
Positions (direct):
Ta 0.100 0.125 0.475
Ta 0.375 0.900 0.025
Ta 0.650 0.625 0.525
Ta 0.875 0.350 0.975
Si 0.000 0.000 0.000
Si 0.750 0.250 0.500
Br 0.250 0.750 0.500
Br 0.500 0.500 0.000


The following is a DFT calculation (GGA-PBEsol) of a geometry-optimized SiTcBr2 structure.

Properties
Spin magnetization: 0.002 μB per cell
Calculated volume: 17.3 Å³ per atom
Energy relative to the elements, uncorrected: 0.8637 eV/atom
Density of states at the Fermi level: 3.129 states/eV/cell
Space group: Fm-3m, No. 225

abc: 4.605 4.605 4.605
angles: 60.00 60.00 60.00
Positions (direct):
Si 0.000 0.000 0.000
Tc 0.500 0.500 0.500
Br 0.250 0.250 0.250
Br 0.750 0.750 0.750


The following is a DFT calculation (GGA-PBEsol) of a geometry-optimized Si2TcBr structure.

Properties
Spin magnetization: 0.003 μB per cell
Calculated volume: 15.9 Å³ per atom
Energy relative to the elements, uncorrected: 0.6485 eV/atom
Density of states at the Fermi level: 3.457 states/eV/cell
Space group: P4/mmm, No. 123

abc: 4.802 4.802 2.754
angles: 90.00 90.00 90.00
Positions (direct):
Si 0.000 0.500 0.000
Si 0.500 0.000 0.000
Tc 0.000 0.000 0.500
Br 0.500 0.500 0.500


The following is a DFT calculation (GGA-PBEsol) of a geometry-optimized SiTc2Br structure.

Properties
Spin magnetization: 0.000 μB per cell
Calculated volume: 16.6 Å³ per atom
Energy relative to the elements, uncorrected: 0.2943 eV/atom
Density of states at the Fermi level: 3.030 states/eV/cell
Space group: R3m, No. 160

abc: 9.424 9.424 9.424
angles: 17.57 17.57 17.57
Positions (direct):
Si 0.000 0.000 0.000
Tc 0.477 0.477 0.477
Tc 0.738 0.738 0.738
Br 0.216 0.216 0.216


The following is a DFT calculation (GGA-PBEsol) of a geometry-optimized Si2TcBr structure.

Properties
Spin magnetization: 0.000 μB per cell
Calculated volume: 15.1 Å³ per atom
Energy relative to the elements, uncorrected: 0.6369 eV/atom
Density of states at the Fermi level: 2.833 states/eV/cell
Space group: I4/mmm, No. 139

abc: 4.746 4.746 4.746
angles: 130.38 130.38 72.79
Positions (direct):
Si 0.250 0.750 0.500
Si 0.750 0.250 0.500
Tc 0.000 0.000 0.000
Br 0.500 0.500 0.000


The following is a DFT calculation (GGA-PBEsol) of a geometry-optimized SiTcBr structure.

Properties
Spin magnetization: 0.000 μB per cell
Calculated volume: 21.5 Å³ per atom
Energy relative to the elements, uncorrected: 0.1979 eV/atom
Density of states at the Fermi level: 1.723 states/eV/cell
Space group: Imm2, No. 44

abc: 6.361 6.361 6.361
angles: 153.35 145.98 43.73
Positions (direct):
Si 0.000 0.000 0.000
Tc 0.533 0.533 0.000
Br 0.735 0.735 0.000


The following is a DFT calculation (GGA-PBEsol) of a geometry-optimized Si2TcBr structure.

Properties
Spin magnetization: 0.000 μB per cell
Calculated volume: 23.6 Å³ per atom
Energy relative to the elements, uncorrected: 0.5701 eV/atom
Density of states at the Fermi level: 3.132 states/eV/cell
Space group: I-42d, No. 122

abc: 6.942 6.942 6.942
angles: 130.54 130.54 72.55
Positions (direct):
Si 0.056 0.625 0.931
Si 0.375 0.306 0.431
Si 0.694 0.125 0.069
Si 0.875 0.944 0.569
Tc 0.000 0.000 0.000
Tc 0.750 0.250 0.500
Br 0.250 0.750 0.500
Br 0.500 0.500 0.000